[1]
TlHg5 | PBEsol | relaxed

Results
- energy relative to the lowest polymorph listed for this composition (meV/atom) = 0
- space-group type = Amm2
- formation energy (kJ/mol of atoms) = -2.0

Cell: 4.349 4.864 7.295 Å, 90.00 107.34 90.00°
Fractional coordinates of all 6 atoms:
Hg 0.971 0.000 0.941
Hg 0.308 0.000 0.615
Hg 0.639 0.000 0.279
Hg 0.467 0.500 0.934
Hg 0.810 0.500 0.621
Tl 0.139 0.500 0.277


[2]
Mn2PPb | PBEsol | relaxed

Results
- space-group type = I-4m2
- formation energy (kJ/mol of atoms) = 45.1

Cell: 3.834 3.834 5.217 Å, 111.56 111.56 90.00°
Last column: magnetic moment on the atom in μB.
Fractional coordinates of all 4 atoms:
Mn 0.000 0.000 0.000  3.43
Mn 0.750 0.250 0.500  3.33
P 0.500 0.500 0.000  0.01
Pb 0.250 0.750 0.500  -0.07


[3]
Ba3BS | PBEsol | relaxed

Results
- energy relative to the lowest polymorph listed for this composition (meV/atom) = 0
- space-group type = Pm-3m
- raw formation energy (eV per atom) = -0.045

Cell: 5.649 5.649 5.649 Å, 90.00 90.00 90.00°
Fractional coordinates of all 5 atoms:
S 0.500 0.500 0.500
B 0.000 0.000 0.000
Ba 0.000 0.500 0.000
Ba 0.000 0.000 0.500
Ba 0.500 0.000 0.000


[4]
MgTiAsBr2 | PBEsol | relaxed

Results
- space-group type = P4/mmm
- raw formation energy (eV per atom) = -0.393

Cell: 4.921 4.921 5.138 Å, 90.00 90.00 90.00°
Fractional coordinates of all 5 atoms:
As 0.000 0.000 0.500
Mg 0.500 0.500 0.500
Br 0.000 0.500 0.000
Br 0.500 0.000 0.000
Ti 0.000 0.000 0.000


[5]
AlTc2Hg | PBEsol | relaxed

Results
- energy relative to the lowest polymorph listed for this composition (meV/atom) = 0
- space-group type = C2/m
- formation energy (kJ/mol of atoms) = 24.2

Cell: 2.899 4.779 4.823 Å, 101.81 90.00 107.66°
Fractional coordinates of all 4 atoms:
Al 0.000 0.000 0.500
Hg 0.500 0.000 0.000
Tc 0.743 0.486 0.721
Tc 0.257 0.514 0.279


[6]
TlReAg | PBEsol | relaxed

Results
- energy relative to the lowest polymorph listed for this composition (meV/atom) = 0
- space-group type = I4mm
- formation energy (kJ/mol of atoms) = 84.6

Cell: 2.791 2.791 7.280 Å, 101.05 101.05 90.00°
Fractional coordinates of all 3 atoms:
Re 0.659 0.659 0.318
Tl 0.329 0.329 0.658
Ag 0.012 0.012 0.024